# Ba2TaTcN

A crystal of Ba2TaTcN relaxed with PBEsol (SCAN, Alexandria via LeMat-Bulk).

a b c (Å): 4.486 6.218 6.218
angles (deg): 90.00 90.00 90.00
Atoms (fractional coordinates):
Tc  0.500  0.000  0.000
N  0.500  0.500  0.500
Ba  0.000  0.000  0.500
Ba  0.000  0.500  0.000
Ta  0.000  0.000  0.000

Calculated values
- DOS(E_F): 4.88 states/eV/f.u.
- Total moment: 1.29 μB/cell
- Calculated density: 5.43 Mg/m³
- ΔE_f (raw): 1.64 eV per atom
- Space-group type: P4/mmm
- Total DFT energy (no corrections): -36.366 eV per atom

=====

# LiLaAl2Sn

A crystal of LiLaAl2Sn relaxed with PBEsol (SCAN, Alexandria via LeMat-Bulk).

a b c (Å): 5.300 5.521 5.521
angles (deg): 90.00 90.00 90.00
Atoms (fractional coordinates):
Al  0.000  0.000  0.500
Al  0.000  0.500  0.000
Li  0.500  0.000  0.000
Sn  0.500  0.500  0.500
La  0.000  0.000  0.000

Calculated values
- DOS(E_F): 3.43 states/eV/f.u.
- Total moment: 1.03 μB/cell
- Calculated density: 3.27 Mg/m³
- Space-group type: P4/mmm
- Total DFT energy (no corrections): -18.244 eV per atom

=====

# K6Na3AlSb4

A crystal of K6Na3AlSb4 relaxed with PBEsol (SCAN, Alexandria via LeMat-Bulk).

a b c (Å): 10.133 10.133 10.388
angles (deg): 90.00 90.00 120.00
Atoms (fractional coordinates):
K  0.585  0.793  0.958
K  0.793  0.207  0.458
K  0.793  0.585  0.458
K  0.207  0.415  0.958
K  0.207  0.793  0.958
K  0.415  0.207  0.042
K  0.793  0.207  0.042
K  0.415  0.207  0.458
K  0.793  0.585  0.042
K  0.207  0.415  0.542
K  0.585  0.793  0.542
K  0.207  0.793  0.542
Na  0.767  0.884  0.250
Na  0.884  0.116  0.750
Na  0.884  0.767  0.750
Na  0.116  0.233  0.250
Na  0.116  0.884  0.250
Na  0.233  0.116  0.750
Al  0.333  0.667  0.250
Al  0.667  0.333  0.750
Sb  0.482  0.518  0.250
Sb  0.518  0.036  0.750
Sb  0.964  0.482  0.750
Sb  0.036  0.518  0.250
Sb  0.482  0.964  0.250
Sb  0.518  0.482  0.750
Sb  0.000  0.000  0.500
Sb  0.000  0.000  0.000

Calculated values
- Total moment: 0.00 μB/cell
- Calculated density: 2.94 Mg/m³
- ΔE_f (raw): -0.54 eV per atom
- Space-group type: P6_3/mmc
- Total DFT energy (no corrections): -16.216 eV per atom